1.
An optimized crystal structure of Nb2Fe5GeB2, computed with GGA-PBE.

The value obtained for the energy relative to the elements is -0.41 eV per atom.

The structure belongs to space group P4/mbm (No. 127); the cell edges are 8.703, 8.703 and 2.909 Å and the angles 90.00°, 90.00° and 90.00°. The inequivalent atoms are Nb at (0.176, 0.324, 0.000), Fe at (0.000, 0.500, 0.500), Fe at (0.068, 0.782, 0.500), Ge at (0.000, 0.000, 0.000) and B at (0.121, 0.621, 0.000).

***

2.
An optimized crystal structure of Np2Fe5GeB2, computed with GGA-PBE.

The value obtained for the energy relative to the elements is -0.21 eV per atom.

The structure belongs to space group P4/mbm (No. 127); the cell edges are 8.968, 8.968 and 3.023 Å and the angles 90.00°, 90.00° and 90.00°. The inequivalent atoms are Np at (0.177, 0.323, 0.000), Fe at (0.000, 0.500, 0.500), Fe at (0.071, 0.778, 0.500), Ge at (0.000, 0.000, 0.000) and B at (0.118, 0.618, 0.000).

***

3.
An optimized crystal structure of Fe2GeBSb, computed with GGA-PBE.

For the energy relative to the elements, uncorrected, the calculation gives 10.2 eV per formula unit.

The structure belongs to space group P4/mmm (No. 123); the cell edges are 4.779, 4.779 and 5.358 Å and the angles 90.00°, 90.00° and 90.00°. The inequivalent atoms are Fe at (0.000, 0.500, 0.000), Ge at (0.000, 0.000, 0.500), B at (0.500, 0.500, 0.500) and Sb at (0.000, 0.000, 0.000).

***

4.
An optimized crystal structure of Sc2Fe5GeB2, computed with GGA-PBE.

The value obtained for the energy relative to the elements is -0.38 eV per atom.

The structure belongs to space group P4/mbm (No. 127); the cell edges are 8.699, 8.699 and 3.041 Å and the angles 90.00°, 90.00° and 90.00°. The inequivalent atoms are Sc at (0.175, 0.325, 0.000), Fe at (0.000, 0.500, 0.500), Fe at (0.068, 0.781, 0.500), Ge at (0.000, 0.000, 0.000) and B at (0.121, 0.621, 0.000).

***

5.
An optimized crystal structure of Ta2Fe5GeB2, computed with GGA-PBE.

The value obtained for the energy relative to the elements is -0.46 eV per atom.

The structure belongs to space group P4/mbm (No. 127); the cell edges are 8.661, 8.661 and 2.920 Å and the angles 90.00°, 90.00° and 90.00°. The inequivalent atoms are Ta at (0.176, 0.324, 0.000), Fe at (0.000, 0.500, 0.500), Fe at (0.068, 0.782, 0.500), Ge at (0.000, 0.000, 0.000) and B at (0.121, 0.621, 0.000).

***

6.
An optimized crystal structure of ThFe2Ge2B, computed with GGA-PBE.

The value obtained for the energy relative to the elements is -0.43 eV per atom.

The structure belongs to space group P4/mmm (No. 123); the cell edges are 4.065, 4.065 and 5.426 Å and the angles 90.00°, 90.00° and 90.00°. The inequivalent atoms are Th at (0.000, 0.000, 0.000), Fe at (0.000, 0.500, 0.500), Ge at (0.500, 0.500, 0.240) and B at (0.000, 0.000, 0.500).

***

7.
An optimized crystal structure of Tm2Fe5GeB2, computed with GGA-PBE.

The value obtained for the energy relative to the elements is -0.26 eV per atom.

The structure belongs to space group P4/mbm (No. 127); the cell edges are 8.874, 8.874 and 3.130 Å and the angles 90.00°, 90.00° and 90.00°. The inequivalent atoms are Tm at (0.177, 0.323, 0.000), Fe at (0.000, 0.500, 0.500), Fe at (0.067, 0.777, 0.500), Ge at (0.000, 0.000, 0.000) and B at (0.118, 0.618, 0.000).

***

8.
An optimized crystal structure of FeBH3, computed with GGA-PBE.

For the energy above the lowest structure with this stoichiometry, the calculation gives 0.161 eV per atom.

The structure belongs to space group Pm-3m (No. 221); the cell edges are 3.074, 3.074 and 3.074 Å and the angles 90.00°, 90.00° and 90.00°. The inequivalent atoms are Fe at (0.000, 0.000, 0.000), B at (0.500, 0.500, 0.500) and H at (0.000, 0.000, 0.500).

***

9.
An optimized crystal structure of FeB2H6, computed with GGA-PBE.

For the energy above the lowest structure with this stoichiometry, the calculation gives 0.000 eV per atom.

The structure belongs to space group P-1 (No. 2); the cell edges are 2.673, 3.618 and 9.208 Å and the angles 83.30°, 81.73° and 68.34°. The inequivalent atoms are Fe at (0.000, 0.000, 0.000), B at (0.259, 0.424, 0.058), H at (0.071, 0.705, 0.156), H at (0.254, 0.733, 0.584) and H at (0.346, 0.785, 0.649).

***

10.
An optimized crystal structure of FeB2H6, computed with GGA-PBE.

For the energy above the lowest structure with this stoichiometry, the calculation gives 0.789 eV per atom.

The structure belongs to space group Fm-3m (No. 225); the cell edges are 5.522, 5.522 and 5.522 Å and the angles 90.00°, 90.00° and 90.00°. The inequivalent atoms are Fe at (0.000, 0.000, 0.000), B at (0.250, 0.250, 0.250) and H at (0.000, 0.000, 0.284).

***

11.
An optimized crystal structure of FeBH3, computed with GGA-PBE.

For the energy above the lowest structure with this stoichiometry, the calculation gives 0.000 eV per atom.

The structure belongs to space group Pm-3m (No. 221); the cell edges are 3.018, 3.018 and 3.018 Å and the angles 90.00°, 90.00° and 90.00°. The inequivalent atoms are Fe at (0.000, 0.000, 0.000), B at (0.500, 0.500, 0.500) and H at (0.000, 0.500, 0.500).

***

12.
An optimized crystal structure of FeBH2I, computed with GGA-PBE.

The electronic total energy is -3.6036 eV per atom.

The structure belongs to space group P4/mmm (No. 123); the cell edges are 3.485, 3.485 and 4.505 Å and the angles 90.00°, 90.00° and 90.00°. The inequivalent atoms are Fe at (0.000, 0.000, 0.000), B at (0.000, 0.000, 0.500), H at (0.000, 0.500, 0.500) and I at (0.500, 0.500, 0.000).

***

13.
An optimized crystal structure of Mn2FeBH, computed with GGA-PBE.

The electronic total energy is -6.7995 eV per atom.

The structure belongs to space group P4/mmm (No. 123); the cell edges are 3.997, 3.997 and 2.880 Å and the angles 90.00°, 90.00° and 90.00°. The inequivalent atoms are Mn at (0.000, 0.500, 0.000), Fe at (0.000, 0.000, 0.500), B at (0.500, 0.500, 0.000) and H at (0.500, 0.500, 0.500).

***

Magnetic moment (μB/atom)
0.01; 0.21; 1.03; 0.47; 0.01; 0.39; 0.51; 0.00; 0.00; 0.00; 0.52; 0.00; 0.91